Below is a geometry-optimized MgV3Ge structure, with properties calculated at the PBE level.

Geometry as POSCAR:
```
MgV3Ge
1.0
-2.9818 -2.9461 1.5242
-0.7740 -1.3749 -4.1718
3.2254 -3.0535 0.4079
Ge Mg V
1 1 3
direct
0.5000 0.5000 0.5000
0.0000 0.0000 0.0000
0.0000 0.5000 0.0000
0.0000 0.0000 0.5000
0.5000 0.0000 0.0000
```

Summary:
- Energy relative to the lowest polymorph listed for this composition: 0.8416 eV/atom

---

Below is a geometry-optimized KGa2Cl structure, with properties calculated at the PBE level.

Geometry as POSCAR:
```
KGa2Cl
1.0
-0.1819 2.0747 -3.5032
-1.4230 -3.3179 -1.8911
-15.3137 3.7101 0.6219
K Ga Cl
2 4 2
direct
0.0000 0.0000 0.0000
0.7500 0.2500 0.5000
0.6206 0.1250 0.2500
0.1294 0.6250 0.2500
0.3750 0.3794 0.7500
0.8750 0.8706 0.7500
0.5000 0.5000 0.0000
0.2500 0.7500 0.5000
```

Summary:
- Energy relative to the lowest polymorph listed for this composition: 0.0000 eV/atom

---

Below is a geometry-optimized CuGeRu2 structure, with properties calculated at the PBE level.

Geometry as POSCAR:
```
CuGeRu2
1.0
-2.0984 6.3382 -1.5694
-5.9870 -1.2097 3.1197
-3.0704 3.4315 2.9773
Ru Ge Cu
4 2 2
direct
0.6422 0.1250 0.2500
0.1078 0.6250 0.2500
0.3750 0.3578 0.7500
0.8750 0.8922 0.7500
0.0000 0.0000 0.0000
0.7500 0.2500 0.5000
0.5000 0.5000 0.0000
0.2500 0.7500 0.5000
```

Summary:
- Energy: -0.4665 Ry per atom